HoPu2USe4 | Alexandria via LeMat-Bulk | PBE-GGA | optimized geometry; energy = -69.94 eV/cell; energy relative to the elements, uncorrected = -1107 kJ/mol of formula units
1.0
7.0657 0.0000 0.0000
0.0000 4.0440 0.0000
-2.3171 0.0000 6.8029
Ho Pu U Se
1 2 1 4
Cartesian
0.0000 0.0000 0.0000
-1.1586 2.0220 3.4014
2.3743 0.0000 3.4014
3.5329 2.0220 0.0000
1.1703 2.0220 1.6646
0.0105 0.0000 5.1236
4.7381 0.0000 1.6792
3.5783 2.0220 5.1383